Ba2TlHgAu6 | PBE | relaxed

Computed properties:
The calculation puts the formation energy at -2.0 eV per formula unit. The total DFT energy (no corrections) is -0.1035 hartree per atom.

abc: 7.5950 7.5950 7.5950
angles: 60.00 60.00 60.00
Fractional coordinates of all 10 atoms:
1 Ba 0.2500 0.2500 0.2500
2 Ba 0.7500 0.7500 0.7500
3 Tl 0.0000 0.0000 0.0000
4 Hg 0.5000 0.5000 0.5000
5 Au 0.2514 0.2514 0.7486
6 Au 0.2514 0.7486 0.2514
7 Au 0.2514 0.7486 0.7486
8 Au 0.7486 0.2514 0.2514
9 Au 0.7486 0.2514 0.7486
10 Au 0.7486 0.7486 0.2514